## i
Below is a relaxed structure of TlInCl2, with properties calculated at the PBE-GGA level.

Cell: 6.4761 6.4761 8.0581 Å, 62.55 62.55 82.36°
With the nearest neighbours (Å) after each atom.
Sites, in units of the cell vectors:
Tl (0.1350, 0.3650, 0.7500)  6 Cl 3.20-3.36
Tl (0.8650, 0.6350, 0.2500)  6 Cl 3.20-3.36
In (0.6012, 0.8988, 0.7500)  2 Cl 2.88
In (0.3988, 0.1012, 0.2500)  2 Cl 2.88
Cl (0.0500, 0.8641, 0.7496)  1 In 2.88, 2 Tl 3.20-3.23
Cl (0.9500, 0.1359, 0.2504)  1 In 2.88, 2 Tl 3.20-3.23
Cl (0.6359, 0.4500, 0.7504)  1 In 2.88, 2 Tl 3.20-3.23
Cl (0.3641, 0.5500, 0.2496)  1 In 2.88, 2 Tl 3.20-3.23

=====

## ii
Below is a relaxed structure of TlInCl2, with properties calculated at the PBE-GGA level.

Cell: 9.6311 9.6311 9.6311 Å, 27.36 27.36 27.36°
With the nearest neighbours (Å) after each atom.
Sites, in units of the cell vectors:
Tl (0.5000, 0.5000, 0.5000)  6 Cl 3.22
Cl (0.9003, 0.9003, 0.9003)  1 In 2.77
Cl (0.0997, 0.0997, 0.0997)  1 In 2.77
In (0.0000, 0.0000, 0.0000)  2 Cl 2.77

=====

## iii
Below is a relaxed structure of TlInCl2, with properties calculated at the PBE-GGA level.

Cell: 5.3848 5.3848 5.3848 Å, 60.00 60.00 60.00°
With the nearest neighbours (Å) after each atom.
Sites, in units of the cell vectors:
Tl (0.7500, 0.7500, 0.7500)  4 In 3.30, 4 Cl 3.30
Cl (0.0000, 0.0000, 0.0000)  4 Tl 3.30, 4 Cl 3.30
Cl (0.2500, 0.2500, 0.2500)  4 Cl 3.30, 4 In 3.30
In (0.5000, 0.5000, 0.5000)  4 Cl 3.30, 4 Tl 3.30

=====

The structure with the least stability is iii.

=====

## i
Below is a relaxed structure of UIn2Cl8, with properties calculated at the PBE-GGA level.

Cell: 5.7647 8.1266 8.1265 Å, 72.50 87.93 87.93°
With the nearest neighbours (Å) after each atom.
Sites, in units of the cell vectors:
U (0.0000, 0.0000, 0.0000)  6 Cl 2.54-2.56
In (0.2342, 0.6078, 0.6078)  6 Cl 2.79-3.08
In (0.7658, 0.3922, 0.3922)  6 Cl 2.79-3.08
Cl (0.2331, 0.8968, 0.2755)  1 U 2.56
Cl (0.2331, 0.2756, 0.8968)  1 U 2.56
Cl (0.7669, 0.1032, 0.7245)  1 U 2.56
Cl (0.2497, 0.3939, 0.3939)  3 In 2.79-2.97
Cl (0.7669, 0.7244, 0.1032)  1 U 2.56
Cl (0.2702, 0.8418, 0.8418)  1 U 2.54
Cl (0.7298, 0.1582, 0.1582)  1 U 2.54
Cl (0.7503, 0.6061, 0.6061)  3 In 2.79-2.97

=====

## ii
Below is a relaxed structure of UIn2Cl8, with properties calculated at the PBE-GGA level.

Cell: 6.4342 7.9836 7.9836 Å, 73.39 74.93 74.93°
With the nearest neighbours (Å) after each atom.
Sites, in units of the cell vectors:
U (0.0000, 0.0000, 0.0000)  6 Cl 2.49-2.56
In (0.3865, 0.3693, 0.3693)  2 Cl 2.66-2.69
In (0.6135, 0.6307, 0.6307)  2 Cl 2.66-2.69
Cl (0.2460, 0.0639, 0.6907)  1 U 2.56
Cl (0.2460, 0.6907, 0.0639)  1 U 2.56
Cl (0.7540, 0.9361, 0.3093)  1 U 2.56
Cl (0.2302, 0.5885, 0.5885)  2 In 2.66-2.69
Cl (0.7540, 0.3093, 0.9361)  1 U 2.56
Cl (0.2289, 0.1240, 0.1240)  1 U 2.49
Cl (0.7711, 0.8760, 0.8760)  1 U 2.49
Cl (0.7698, 0.4115, 0.4115)  2 In 2.66-2.69

=====

The structure with the least stability is ii.

=====

## i
Below is a relaxed structure of V3InCl, with properties calculated at the PBE-GGA level.

Cell: 4.3145 4.3145 4.3145 Å, 90.00 90.00 90.00°
With the nearest neighbours (Å) after each atom.
Sites, in units of the cell vectors:
V (0.0000, 0.5000, 0.0000)  2 Cl 2.16
V (0.0000, 0.0000, 0.5000)  2 Cl 2.16
V (0.5000, 0.0000, 0.0000)  2 Cl 2.16
In (0.5000, 0.5000, 0.5000)  12 V 3.05
Cl (0.0000, 0.0000, 0.0000)  6 V 2.16

=====

## ii
Below is a relaxed structure of V3InCl, with properties calculated at the PBE-GGA level.

Cell: 5.1727 5.1727 5.1727 Å, 90.00 90.00 90.00°
With the nearest neighbours (Å) after each atom.
Sites, in units of the cell vectors:
V (0.0000, 0.5000, 0.0000)  2 In 2.59
V (0.0000, 0.0000, 0.5000)  2 In 2.59
V (0.5000, 0.0000, 0.0000)  2 In 2.59
In (0.0000, 0.0000, 0.0000)  6 V 2.59
Cl (0.5000, 0.5000, 0.5000)  12 V 3.66

=====

The structure with the least stability is ii.

=====

## i
Below is a relaxed structure of VInCl2, with properties calculated at the PBE-GGA level.

Cell: 8.2745 8.2745 6.5532 Å, 50.85 50.85 90.00°
With the nearest neighbours (Å) after each atom.
Sites, in units of the cell vectors:
V (0.5000, 0.5000, 0.0000)  4 Cl 2.46
V (0.2500, 0.7500, 0.5000)  4 Cl 2.46
In (0.0000, 0.0000, 0.0000)  2 V 2.95, 4 Cl 3.23
In (0.7500, 0.2500, 0.5000)  2 V 2.95, 4 Cl 3.23
Cl (0.5101, 0.1250, 0.2500)  2 V 2.46
Cl (0.2399, 0.6250, 0.2500)  2 V 2.46
Cl (0.3750, 0.4899, 0.7500)  2 V 2.46
Cl (0.8750, 0.7601, 0.7500)  2 V 2.46

=====

## ii
Below is a relaxed structure of VInCl2, with properties calculated at the PBE-GGA level.

Cell: 10.0597 10.0597 10.0597 Å, 20.57 20.57 20.57°
With the nearest neighbours (Å) after each atom.
Sites, in units of the cell vectors:
V (0.5000, 0.5000, 0.5000)  6 Cl 2.49
In (0.0000, 0.0000, 0.0000)  2 Cl 3.55, 6 In 3.59
Cl (0.8798, 0.8798, 0.8798)  3 V 2.49
Cl (0.1202, 0.1202, 0.1202)  3 V 2.49

=====

The structure with the least stability is i.

=====

## i
Below is a relaxed structure of VIn2Cl, with properties calculated at the PBE-GGA level.

Cell: 5.1629 5.1629 5.1629 Å, 60.00 60.00 60.00°
With the nearest neighbours (Å) after each atom.
Sites, in units of the cell vectors:
V (0.5000, 0.5000, 0.5000)  8 In 3.16
In (0.2500, 0.2500, 0.2500)  4 Cl 3.16, 4 V 3.16
In (0.7500, 0.7500, 0.7500)  4 Cl 3.16, 4 V 3.16
Cl (0.0000, 0.0000, 0.0000)  8 In 3.16

=====

## ii
Below is a relaxed structure of VIn2Cl, with properties calculated at the PBE-GGA level.

Cell: 9.8570 9.8570 7.3426 Å, 47.84 47.84 90.00°
With the nearest neighbours (Å) after each atom.
Sites, in units of the cell vectors:
V (0.0000, 0.0000, 0.0000)  2 Cl 2.31
V (0.7500, 0.2500, 0.5000)  2 Cl 2.31
In (0.7305, 0.1250, 0.2500)  2 V 2.90, 2 In 3.11
In (0.0195, 0.6250, 0.2500)  2 V 2.90, 2 In 3.11
In (0.3750, 0.2695, 0.7500)  2 V 2.90, 2 In 3.11
In (0.8750, 0.9805, 0.7500)  2 V 2.90, 2 In 3.11
Cl (0.5000, 0.5000, 0.0000)  2 V 2.31
Cl (0.2500, 0.7500, 0.5000)  2 V 2.31

=====

The structure with the least stability is i.

=====

## i
Below is a relaxed structure of InWCl, with properties calculated at the PBE-GGA level.

Cell: 4.9082 4.9082 4.9082 Å, 60.00 60.00 60.00°
With the nearest neighbours (Å) after each atom.
Sites, in units of the cell vectors:
Cl (0.5000, 0.5000, 0.5000)  4 In 3.01
W (0.0000, 0.0000, 0.0000)  4 In 3.01
In (0.7500, 0.7500, 0.7500)  4 W 3.01, 4 Cl 3.01

=====

## ii
Below is a relaxed structure of InWCl, with properties calculated at the PBE-GGA level.

Cell: 5.6264 5.6264 5.6264 Å, 150.52 139.11 51.21°
With the nearest neighbours (Å) after each atom.
Sites, in units of the cell vectors:
Cl (0.0403, 0.0403, 0.0000)  4 W 2.60, 2 Cl 2.86
W (0.6299, 0.6299, 0.0000)  4 Cl 2.60, 2 W 2.86
In (0.3298, 0.3298, 0.0000)  2 In 2.86, 1 Cl 2.94, 5 W 3.05-3.17

=====

The structure with the least stability is i.

=====

## i
Below is a relaxed structure of In2WCl, with properties calculated at the PBE-GGA level.

Cell: 5.6617 5.6617 5.3262 Å, 72.50 72.50 30.90°
With the nearest neighbours (Å) after each atom.
Sites, in units of the cell vectors:
Cl (0.1958, 0.1958, 0.2483)  2 W 2.50
W (0.5307, 0.5307, 0.5464)  2 Cl 2.50
In (0.9852, 0.9852, 0.0386)  1 Cl 2.85, 2 W 2.93, 2 In 3.02
In (0.7882, 0.7882, 0.6667)  3 W 2.94-3.07, 2 In 3.02, 2 Cl 3.11

=====

## ii
Below is a relaxed structure of In2WCl, with properties calculated at the PBE-GGA level.

Cell: 3.1894 3.1894 10.7403 Å, 90.00 90.00 123.07°
With the nearest neighbours (Å) after each atom.
Sites, in units of the cell vectors:
Cl (0.5000, 0.5000, 0.6882)  2 W 2.43
W (0.0000, 0.0000, 0.5120)  2 Cl 2.43
In (0.0000, 0.0000, 0.0175)  8 In 3.04-3.23
In (0.5000, 0.5000, 0.2823)  2 W 2.90, 8 In 3.04-3.23

=====

## iii
Below is a relaxed structure of In2WCl, with properties calculated at the PBE-GGA level.

Cell: 9.3681 9.3681 9.3681 Å, 19.62 19.62 19.62°
With the nearest neighbours (Å) after each atom.
Sites, in units of the cell vectors:
Cl (0.7500, 0.7500, 0.7500)  6 In 2.99, 6 Cl 3.19
W (0.2500, 0.2500, 0.2500)  6 In 2.90, 6 W 3.19
In (0.9979, 0.9979, 0.9979)  3 W 2.90, 3 Cl 2.99, 6 In 3.19
In (0.5021, 0.5021, 0.5021)  3 W 2.90, 3 Cl 2.99, 6 In 3.19

=====

## iv
Below is a relaxed structure of In2WCl, with properties calculated at the PBE-GGA level.

Cell: 4.8303 3.0047 6.3346 Å, 61.70 90.00 90.00°
With the nearest neighbours (Å) after each atom.
Sites, in units of the cell vectors:
Cl (0.5000, 0.7500, 0.7500)  2 W 2.79, 2 Cl 3.00
W (0.5000, 0.2500, 0.2500)  2 Cl 2.79, 2 W 3.00
In (0.0000, 0.0034, 0.0016)  4 In 2.77-3.00
In (0.0000, 0.4966, 0.4984)  4 In 2.77-3.00

=====

The structure with the least stability is iv.

=====

## i
Below is a relaxed structure of In2WCl, with properties calculated at the PBE-GGA level.

Cell: 6.2239 6.2239 6.2239 Å, 142.09 142.09 54.69°
With the nearest neighbours (Å) after each atom.
Sites, in units of the cell vectors:
Cl (0.7500, 0.2500, 0.5000)  4 In 2.86
W (0.5000, 0.5000, 0.0000)  4 In 2.86
In (0.0000, 0.0000, 0.0000)  4 W 2.86
In (0.2500, 0.7500, 0.5000)  4 Cl 2.86

=====

## ii
Below is a relaxed structure of In2WCl, with properties calculated at the PBE-GGA level.

Cell: 2.9955 5.4282 5.2631 Å, 90.00 90.00 90.00°
With the nearest neighbours (Å) after each atom.
Sites, in units of the cell vectors:
Cl (0.0000, 0.5000, 0.5000)  2 Cl 3.00, 4 In 3.03, 4 W 3.10
W (0.5000, 0.0000, 0.5000)  2 W 3.00, 4 In 3.03, 4 Cl 3.10
In (0.0000, 0.0000, 0.0000)  6 In 3.00-3.10, 4 W 3.03
In (0.5000, 0.5000, 0.0000)  6 In 3.00-3.10, 4 Cl 3.03

=====

The structure with the least stability is i.